Entry 1:
Here is a relaxed BaOsRh3 crystal from Alexandria via LeMat-Bulk. Energies are from PBE-GGA.

abc: 4.8421 4.8421 4.8421
angles: 90.00 90.00 90.00
Space group Pm-3m (No. 221)
Symmetry-distinct sites (fractional):
Ba 0.0000 0.0000 0.0000
Os 0.5000 0.5000 0.5000
Rh 0.0000 0.5000 0.5000

* offset from the most stable computed form: 0.0 kJ per mole of atoms
* DOS at the Fermi energy: 4.29 states/eV/f.u.
* calculated total energy: -32.60 eV/cell
* formation enthalpy at 0 K: 50.3 kJ/mol of atoms
* theoretical density: 9.31 g/cm3

=====

Entry 2:
Here is a relaxed ZrCd4N4 crystal from Alexandria via LeMat-Bulk. Energies are from PBE-GGA.

abc: 6.0302 6.0625 8.9653
angles: 80.19 72.08 68.50
Space group P-1 (No. 2)
Symmetry-distinct sites (fractional):
Zr 0.1137 0.2214 0.2248
Cd 0.0077 0.7534 0.4141
Cd 0.2696 0.7411 0.0000
Cd 0.3276 0.2128 0.8049
Cd 0.4539 0.7445 0.5724
N 0.0374 0.0221 0.8116
N 0.1837 0.5336 0.6139
N 0.3176 0.3496 0.0183
N 0.3456 0.0395 0.3691

* DOS at the Fermi energy: 0.73 states/eV/f.u.
* calculated total energy: -89.81 eV/cell
* theoretical density: 6.85 g/cm3
* energy relative to the elements, uncorrected: 1.55 kcal/mol of atoms

=====

Entry 3:
Here is a relaxed Pa2Al5Zn12 crystal from Alexandria via LeMat-Bulk. Energies are from PBE-GGA.

abc: 9.0529 9.0529 13.3307
angles: 90.00 90.00 120.00
Space group R-3m (No. 166, hexagonal axes)
Symmetry-distinct sites (fractional):
Pa 0.0000 0.0000 0.1713
Al 0.0000 0.0000 0.4004
Al 0.0000 0.5000 0.0000
Zn 0.0000 0.2998 0.5000
Zn 0.0151 0.5076 0.6493

* DOS at the Fermi energy: 12.96 states/eV/f.u.
* calculated total energy: -164.36 eV/cell
* formation enthalpy at 0 K: -9.1 kJ/mol of atoms
* theoretical density: 7.28 g/cm3